Entry 1:
DFT (PBE-GGA) results for Nd6PuSe8 after structural relaxation.

Unit cell a=11.926 b=11.926 c=11.926 alpha=90.00 beta=90.00 gamma=90.00
Space group Fm-3m (No. 225)
Asymmetric unit:
Nd 0.000 0.250 0.250 x24
Pu 0.000 0.000 0.000 x4
Se 0.000 0.000 0.249 x24
Se 0.250 0.250 0.250 x8

## Properties
As for the uncorrected formation energy: -1.825 eV/atom.


Entry 2:
DFT (PBE-GGA) results for TaRuS2Cl after structural relaxation.

Unit cell a=4.799 b=4.799 c=4.776 alpha=90.00 beta=90.00 gamma=90.00
Space group P4/mmm (No. 123)
Asymmetric unit:
Ta 0.000 0.000 0.000 x1
Ru 0.500 0.500 0.500 x1
S 0.000 0.500 0.000 x2
Cl 0.000 0.000 0.500 x1

## Properties
The offset from the most stable computed form comes out at 0 meV per atom. As for the uncorrected formation energy: 0.394 eV/atom.


Entry 3:
DFT (PBE-GGA) results for SmTm2Ga after structural relaxation.

Unit cell a=4.719 b=4.719 c=4.700 alpha=90.00 beta=90.00 gamma=90.00
Space group P4/mmm (No. 123)
Asymmetric unit:
Sm 0.000 0.000 0.000 x1
Tm 0.000 0.500 0.500 x2
Ga 0.500 0.500 0.000 x1

## Properties
Its formation energy from the elements is -0.23 eV per atom. The offset from the most stable computed form comes out at 58 meV per atom.


Entry 4:
DFT (PBE-GGA) results for HoAl6Pd4 after structural relaxation.

Unit cell a=7.2614 b=7.2614 c=4.0585 alpha=90.00 beta=90.00 gamma=120.00
Space group P-6m2 (No. 187)
Asymmetric unit:
Ho 0.0000 0.0000 0.0000 x1
Al 0.2000 0.3999 0.5000 x3
Al 0.5344 0.0687 0.0000 x3
Pd 0.3333 0.6667 0.0000 x1
Pd 0.4009 0.2004 0.5000 x3

## Properties
Its formation energy from the elements is -0.78 eV per atom.


Entry 5:
DFT (PBE-GGA) results for InIr2W after structural relaxation.

Unit cell a=4.788 b=4.788 c=2.867 alpha=90.00 beta=90.00 gamma=90.00
Space group P4/mmm (No. 123)
Asymmetric unit:
In 0.000 0.000 0.000 x1
Ir 0.000 0.500 0.500 x2
W 0.500 0.500 0.000 x1

## Properties
Its formation energy from the elements is 0.15 eV per atom.


| no. | total magnetization (μB per cell) |
| --- | --- |
| 1 | 25.02 |
| 2 | 2.98 |
| 3 | 0.00 |
| 4 | 0.00 |
| 5 | 0.00 |